## SmPuCoO6 (GGA+U)

Data for a geometry-optimized SmPuCoO6 structure.

Lattice parameters (Å, degrees): 5.1804 5.1804 10.3118 90.00 90.00 120.00
Space group P-31c (No. 163)
Unique sites:
Sm  0.0000  0.0000  0.0000 x2
Pu  0.3333  0.6667  0.2500 x2
Co  0.3333  0.6667  0.7500 x2
O  0.0192  0.3670  0.6419 x12

E_tot ... -8.318 eV/atom